A plane-wave DFT calculation with PBE was carried out for a geometry-optimized Cu6AgAu12 structure.

Computed properties:
Calculated total energy: -3.532 eV/atom
ΔE_f: -0.4 eV per formula unit
Energy above the lowest structure with this stoichiometry: 0.00 eV per formula unit
SG: R-3

a = 6.9895 Å, b = 7.5381 Å, c = 7.5381 Å
α = 69.10°, β = 72.00°, γ = 108.00°
With the nearest neighbours (Å) after each atom.
Atoms (fractional coordinates):
Au 0.7961 0.2750 0.8700  4 Cu 2.72-3.00, 7 Au 2.80-3.00, 1 Ag 2.92
Au 0.2651 0.4318 0.6221  5 Cu 2.77-2.85, 6 Au 2.80-3.00, 1 Ag 2.92
Au 0.6661 0.8700 0.8550  4 Cu 2.72-3.00, 7 Au 2.80-3.00, 1 Ag 2.92
Au 0.4789 0.1450 0.7250  4 Cu 2.72-3.00, 7 Au 2.80-3.00, 1 Ag 2.92
Au 0.1128 0.3779 0.0539  5 Cu 2.77-2.85, 6 Au 2.80-3.00, 1 Ag 2.92
Au 0.8333 0.9461 0.4318  5 Cu 2.77-2.85, 6 Au 2.80-3.00, 1 Ag 2.92
Au 0.3339 0.1300 0.1450  4 Cu 2.72-3.00, 7 Au 2.80-3.00, 1 Ag 2.92
Au 0.2039 0.7250 0.1300  4 Cu 2.72-3.00, 7 Au 2.80-3.00, 1 Ag 2.92
Au 0.7349 0.5682 0.3779  5 Cu 2.77-2.85, 6 Au 2.80-3.00, 1 Ag 2.92
Au 0.8872 0.6221 0.9461  5 Cu 2.77-2.85, 6 Au 2.80-3.00, 1 Ag 2.92
Au 0.1667 0.0539 0.5682  5 Cu 2.77-2.85, 6 Au 2.80-3.00, 1 Ag 2.92
Au 0.5211 0.8550 0.2750  4 Cu 2.72-3.00, 7 Au 2.80-3.00, 1 Ag 2.92
Cu 0.4217 0.4687 0.2168  9 Au 2.72-3.00, 3 Cu 2.81-2.91
Cu 0.0470 0.6855 0.5313  9 Au 2.72-3.00, 3 Cu 2.81-2.91
Cu 0.9530 0.3145 0.4687  9 Au 2.72-3.00, 3 Cu 2.81-2.91
Cu 0.6385 0.2168 0.3145  9 Au 2.72-3.00, 3 Cu 2.81-2.91
Cu 0.5783 0.5313 0.7832  9 Au 2.72-3.00, 3 Cu 2.81-2.91
Cu 0.3615 0.7832 0.6855  9 Au 2.72-3.00, 3 Cu 2.81-2.91
Ag 0.0000 0.0000 0.0000  12 Au 2.92



A plane-wave DFT calculation with PBE was carried out for a geometry-optimized Cu3Ag2Au2 structure.

Computed properties:
Calculated total energy: -3.500 eV/atom
ΔE_f: 0.0 eV per formula unit
SG: P-1

a = 3.9880 Å, b = 4.8656 Å, c = 7.4679 Å
α = 109.83°, β = 105.55°, γ = 114.59°
With the nearest neighbours (Å) after each atom.
Atoms (fractional coordinates):
Cu 0.4112 0.6857 0.1332  4 Au 2.64-2.78, 5 Cu 2.67-2.87, 3 Ag 2.80-2.88
Cu 0.5888 0.3143 0.8668  4 Au 2.64-2.78, 5 Cu 2.67-2.87, 3 Ag 2.80-2.88
Cu 0.0000 0.0000 0.0000  4 Au 2.66-2.67, 6 Cu 2.67-2.87, 2 Ag 2.77
Ag 0.7242 0.8689 0.5791  4 Cu 2.77-2.88, 3 Ag 2.82-2.85, 5 Au 2.84-2.97
Ag 0.2758 0.1311 0.4209  4 Cu 2.77-2.88, 3 Ag 2.82-2.85, 5 Au 2.84-2.97
Au 0.1746 0.6066 0.7440  6 Cu 2.64-2.78, 4 Ag 2.84-2.95
Au 0.8254 0.3934 0.2560  6 Cu 2.64-2.78, 4 Ag 2.84-2.95



A plane-wave DFT calculation with PBE was carried out for a geometry-optimized Cu2AgAu4 structure.

Computed properties:
Calculated total energy: -3.117 eV/atom
ΔE_f: 2.3 eV per formula unit
Energy above the lowest structure with this stoichiometry: 2.12 eV per formula unit
SG: I4/mmm

a = 5.0666 Å, b = 5.0666 Å, c = 6.4277 Å
α = 113.21°, β = 113.21°, γ = 90.00°
With the nearest neighbours (Å) after each atom.
Atoms (fractional coordinates):
Cu 0.3753 0.3753 0.7507  1 Cu 2.66, 8 Au 2.86
Cu 0.6247 0.6247 0.2493  1 Cu 2.66, 8 Au 2.86
Au 0.5000 0.0000 0.0000  2 Ag 2.53, 2 Au 2.67
Au 0.0000 0.5000 0.0000  2 Ag 2.53, 2 Au 2.67
Au 0.2500 0.7500 0.5000  2 Au 2.67, 4 Cu 2.86
Au 0.7500 0.2500 0.5000  2 Au 2.67, 4 Cu 2.86
Ag 0.0000 0.0000 0.0000  4 Au 2.53



A plane-wave DFT calculation with PBE was carried out for a geometry-optimized CuAg8Au2 structure.

Computed properties:
Calculated total energy: -2.922 eV/atom
ΔE_f: 1.3 eV per formula unit
Energy above the lowest structure with this stoichiometry: 0.00 eV per formula unit
SG: C2/m

a = 5.1208 Å, b = 5.3880 Å, c = 8.3066 Å
α = 108.92°, β = 108.25°, γ = 90.00°
With the nearest neighbours (Å) after each atom.
Atoms (fractional coordinates):
Ag 0.7140 0.8387 0.1744  1 Cu 2.67, 5 Ag 2.68-2.98, 2 Au 2.88-2.92
Ag 0.7761 0.4207 0.8415  9 Ag 2.77-3.06, 1 Au 2.79, 2 Cu 3.03
Ag 0.3075 0.1752 0.3505  1 Cu 2.68, 2 Au 2.83-2.86
Ag 0.7139 0.3357 0.1744  1 Cu 2.67, 5 Ag 2.68-2.98, 2 Au 2.88-2.92
Ag 0.2239 0.5793 0.1585  9 Ag 2.77-3.06, 1 Au 2.79, 2 Cu 3.03
Ag 0.6925 0.8248 0.6495  1 Cu 2.68, 2 Au 2.83-2.86
Ag 0.2861 0.6643 0.8256  1 Cu 2.67, 5 Ag 2.68-2.98, 2 Au 2.88-2.92
Ag 0.2860 0.1613 0.8256  1 Cu 2.67, 5 Ag 2.68-2.98, 2 Au 2.88-2.92
Au 0.1106 0.7409 0.4818  7 Ag 2.79-2.92, 2 Au 2.97
Au 0.8894 0.2591 0.5182  7 Ag 2.79-2.92, 2 Au 2.97
Cu 0.0000 0.0000 0.0000  6 Ag 2.67-2.68



A plane-wave DFT calculation with PBE was carried out for a geometry-optimized Cu2AgAu4 structure.

Computed properties:
Calculated total energy: -3.421 eV/atom
ΔE_f: 0.2 eV per formula unit
Energy above the lowest structure with this stoichiometry: 0.00 eV per formula unit
SG: Pbam

a = 4.2918 Å, b = 5.4290 Å, c = 10.3791 Å
α = 90.00°, β = 90.00°, γ = 90.00°
With the nearest neighbours (Å) after each atom.
Atoms (fractional coordinates):
Ag 0.0000 0.0000 0.5000  4 Cu 2.77, 6 Au 2.87-2.94
Ag 0.0000 0.5000 0.0000  4 Cu 2.77, 6 Au 2.87-2.94
Au 0.5000 0.8206 0.0976  4 Cu 2.66-2.83, 3 Au 2.81-2.90, 2 Ag 2.94
Au 0.0000 0.9167 0.7734  4 Cu 2.68-2.86, 4 Au 2.76-2.90, 1 Ag 2.87
Au 0.5000 0.3206 0.4024  4 Cu 2.66-2.83, 3 Au 2.81-2.90, 2 Ag 2.94
Au 0.0000 0.0833 0.2266  4 Cu 2.68-2.86, 4 Au 2.76-2.90, 1 Ag 2.87
Au 0.0000 0.5833 0.2734  4 Cu 2.68-2.86, 4 Au 2.76-2.90, 1 Ag 2.87
Au 0.0000 0.4167 0.7266  4 Cu 2.68-2.86, 4 Au 2.76-2.90, 1 Ag 2.87
Au 0.5000 0.1794 0.9024  4 Cu 2.66-2.83, 3 Au 2.81-2.90, 2 Ag 2.94
Au 0.5000 0.6794 0.5976  4 Cu 2.66-2.83, 3 Au 2.81-2.90, 2 Ag 2.94
Cu 0.5000 0.6657 0.8548  8 Au 2.66-2.86, 2 Ag 2.77
Cu 0.5000 0.3343 0.1452  8 Au 2.66-2.86, 2 Ag 2.77
Cu 0.5000 0.8343 0.3548  8 Au 2.66-2.86, 2 Ag 2.77
Cu 0.5000 0.1657 0.6452  8 Au 2.66-2.86, 2 Ag 2.77



A plane-wave DFT calculation with PBE was carried out for a geometry-optimized CuAg4Au7 structure.

Computed properties:
Calculated total energy: -3.099 eV/atom
ΔE_f: 1.3 eV per formula unit
SG: C2/m

a = 4.9712 Å, b = 9.5025 Å, c = 5.6237 Å
α = 78.91°, β = 63.77°, γ = 74.84°
With the nearest neighbours (Å) after each atom.
Atoms (fractional coordinates):
Ag 0.6407 0.2278 0.4909  6 Au 2.81-3.04, 2 Ag 2.94
Ag 0.1474 0.3815 0.3238  6 Au 2.78-3.10, 3 Ag 2.93-2.94
Ag 0.3593 0.7722 0.5091  6 Au 2.81-3.04, 2 Ag 2.94
Ag 0.8526 0.6185 0.6762  6 Au 2.78-3.10, 3 Ag 2.93-2.94
Au 0.2060 0.0825 0.5055  1 Cu 2.54, 2 Au 2.72-2.84, 4 Ag 2.81-2.84
Au 0.6295 0.5249 0.2161  5 Ag 2.78-2.95, 4 Au 2.82-3.02
Au 0.0904 0.7088 0.1104  1 Cu 2.68, 2 Au 2.82-2.84, 1 Ag 2.90
Au 0.5000 0.0000 0.0000  2 Cu 2.49, 2 Au 2.72
Au 0.3705 0.4751 0.7839  5 Ag 2.78-2.95, 4 Au 2.82-3.02
Au 0.7940 0.9175 0.4945  1 Cu 2.54, 2 Au 2.72-2.84, 4 Ag 2.81-2.84
Au 0.9096 0.2912 0.8896  1 Cu 2.68, 2 Au 2.82-2.84, 1 Ag 2.90
Cu 0.0000 0.0000 0.0000  6 Au 2.49-2.68



A plane-wave DFT calculation with PBE was carried out for a geometry-optimized Cu3AgAu6 structure.

Computed properties:
Calculated total energy: -3.516 eV/atom
ΔE_f: -0.4 eV per formula unit
SG: P2_1/m

a = 4.2268 Å, b = 8.4469 Å, c = 9.1828 Å
α = 95.84°, β = 90.00°, γ = 90.00°
With the nearest neighbours (Å) after each atom.
Atoms (fractional coordinates):
Au 0.7500 0.5378 0.8997  7 Cu 2.70-2.81, 5 Au 2.87-3.00
Au 0.7500 0.7265 0.4803  4 Cu 2.66-2.71, 3 Ag 2.90-2.95, 3 Au 2.91-2.98
Au 0.2500 0.4622 0.1003  7 Cu 2.70-2.81, 5 Au 2.87-3.00
Au 0.7500 0.9397 0.0931  4 Cu 2.69-2.81, 7 Au 2.82-2.96, 1 Ag 2.93
Au 0.2500 0.8278 0.2804  4 Cu 2.67-2.75, 5 Au 2.91-2.98, 3 Ag 2.96-2.99
Au 0.2500 0.2735 0.5197  4 Cu 2.66-2.71, 3 Ag 2.90-2.95, 3 Au 2.91-2.98
Au 0.2500 0.0603 0.9069  4 Cu 2.69-2.81, 7 Au 2.82-2.96, 1 Ag 2.93
Au 0.7500 0.8440 0.7896  8 Au 2.82-2.93, 2 Cu 2.93, 2 Ag 2.96
Au 0.7500 0.3729 0.3095  5 Cu 2.66-2.77, 2 Au 2.88, 1 Ag 2.93
Au 0.2500 0.1560 0.2104  8 Au 2.82-2.93, 2 Cu 2.93, 2 Ag 2.96
Au 0.7500 0.1722 0.7196  4 Cu 2.67-2.75, 5 Au 2.91-2.98, 3 Ag 2.96-2.99
Au 0.2500 0.6271 0.6905  5 Cu 2.66-2.77, 2 Au 2.88, 1 Ag 2.93
Cu 0.2500 0.7465 0.9832  10 Au 2.73-2.93, 2 Cu 2.99
Cu 0.7500 0.6483 0.1866  8 Au 2.69-2.71, 2 Cu 2.99
Cu 0.2500 0.5492 0.3952  8 Au 2.66-2.73
Cu 0.2500 0.3517 0.8134  8 Au 2.69-2.71, 2 Cu 2.99
Cu 0.7500 0.2535 0.0168  10 Au 2.73-2.93, 2 Cu 2.99
Cu 0.7500 0.4508 0.6048  8 Au 2.66-2.73
Ag 0.7500 0.0518 0.4051  10 Au 2.90-2.99, 2 Ag 2.93
Ag 0.2500 0.9482 0.5949  10 Au 2.90-2.99, 2 Ag 2.93



A plane-wave DFT calculation with PBE was carried out for a geometry-optimized CuAg3Au4 structure.

Computed properties:
Calculated total energy: -3.113 eV/atom
ΔE_f: 0.9 eV per formula unit
Energy above the lowest structure with this stoichiometry: 1.07 eV per formula unit
SG: C2/m

a = 2.8551 Å, b = 4.6200 Å, c = 30.3536 Å
α = 157.43°, β = 92.70°, γ = 90.00°
With the nearest neighbours (Å) after each atom.
Atoms (fractional coordinates):
Au 0.3342 0.7619 0.6685  4 Au 2.80-2.86, 5 Ag 2.83-2.92
Au 0.5969 0.9042 0.1938  1 Cu 2.57, 4 Au 2.80-2.86, 2 Ag 2.86
Au 0.6658 0.2381 0.3315  4 Au 2.80-2.86, 5 Ag 2.83-2.92
Au 0.4031 0.0958 0.8062  1 Cu 2.57, 4 Au 2.80-2.86, 2 Ag 2.86
Ag 0.7881 0.7040 0.5763  7 Au 2.83-3.02, 2 Ag 2.86
Ag 0.0000 0.5000 0.0000  4 Cu 2.72, 2 Ag 2.86, 4 Au 2.86
Ag 0.2119 0.2960 0.4237  7 Au 2.83-3.02, 2 Ag 2.86
Cu 0.5000 0.0000 0.0000  2 Au 2.57, 4 Ag 2.72, 2 Cu 2.86



A plane-wave DFT calculation with PBE was carried out for a geometry-optimized Cu2Ag2Au7 structure.

Computed properties:
Calculated total energy: -3.277 eV/atom
ΔE_f: 0.8 eV per formula unit
Energy above the lowest structure with this stoichiometry: 0.37 eV per formula unit
SG: C2/m

a = 5.3082 Å, b = 6.4325 Å, c = 6.4325 Å
α = 96.94°, β = 74.23°, γ = 74.23°
With the nearest neighbours (Å) after each atom.
Atoms (fractional coordinates):
Au 0.3106 0.9279 0.4246  1 Cu 2.69, 2 Ag 2.77-2.83, 6 Au 2.77-3.01
Au 0.5000 0.0000 0.0000  6 Au 2.78-3.09, 2 Cu 2.84, 4 Ag 3.00
Au 0.6894 0.0721 0.5754  1 Cu 2.69, 2 Ag 2.77-2.83, 6 Au 2.77-3.01
Au 0.0328 0.6649 0.6649  3 Cu 2.63-2.74, 2 Au 2.86
Au 0.6894 0.5754 0.0721  1 Cu 2.69, 2 Ag 2.77-2.83, 6 Au 2.77-3.01
Au 0.3106 0.4246 0.9279  1 Cu 2.69, 2 Ag 2.77-2.83, 6 Au 2.77-3.01
Au 0.9672 0.3351 0.3351  3 Cu 2.63-2.74, 2 Au 2.86
Cu 0.4570 0.3433 0.3433  6 Au 2.63-2.84, 1 Cu 2.89
Cu 0.5430 0.6567 0.6567  6 Au 2.63-2.84, 1 Cu 2.89
Ag 0.0000 0.8550 0.1450  6 Au 2.77-3.00, 1 Ag 2.79
Ag 0.0000 0.1450 0.8550  6 Au 2.77-3.00, 1 Ag 2.79



A plane-wave DFT calculation with PBE was carried out for a geometry-optimized CuAgAu2 structure.

Computed properties:
Calculated total energy: -3.399 eV/atom
ΔE_f: -0.1 eV per formula unit
Energy above the lowest structure with this stoichiometry: 0.11 eV per formula unit
SG: P2/m

a = 3.8273 Å, b = 2.8869 Å, c = 6.7047 Å
α = 64.08°, β = 90.00°, γ = 90.00°
With the nearest neighbours (Å) after each atom.
Atoms (fractional coordinates):
Au 0.0000 0.5187 0.4833  4 Cu 2.77-2.79, 3 Au 2.81-2.89, 4 Ag 2.88-2.89
Au 0.0000 0.9813 0.0167  4 Cu 2.77-2.79, 3 Au 2.81-2.89, 4 Ag 2.88-2.89
Ag 0.5000 0.7500 0.7500  8 Au 2.88-2.89, 2 Ag 2.89, 2 Cu 3.02
Cu 0.5000 0.2500 0.2500  8 Au 2.77-2.79, 2 Cu 2.89, 2 Ag 3.02



A plane-wave DFT calculation with PBE was carried out for a geometry-optimized CuAg8Au6 structure.

Computed properties:
Calculated total energy: -3.025 eV/atom
ΔE_f: 1.2 eV per formula unit
SG: R-3

a = 7.7634 Å, b = 7.7634 Å, c = 7.2128 Å
α = 57.44°, β = 57.44°, γ = 60.00°
With the nearest neighbours (Å) after each atom.
Atoms (fractional coordinates):
Au 0.3055 0.6295 0.1126  1 Cu 2.70, 4 Ag 2.80-2.85, 3 Au 2.82-2.92
Au 0.3705 0.0476 0.8874  1 Cu 2.70, 4 Ag 2.80-2.85, 3 Au 2.82-2.92
Au 0.9524 0.3055 0.1126  1 Cu 2.70, 4 Ag 2.80-2.85, 3 Au 2.82-2.92
Au 0.6295 0.9524 0.1126  1 Cu 2.70, 4 Ag 2.80-2.85, 3 Au 2.82-2.92
Au 0.0476 0.6945 0.8874  1 Cu 2.70, 4 Ag 2.80-2.85, 3 Au 2.82-2.92
Au 0.6945 0.3705 0.8874  1 Cu 2.70, 4 Ag 2.80-2.85, 3 Au 2.82-2.92
Ag 0.2390 0.2390 0.2830  3 Au 2.80, 6 Ag 2.86-3.00
Ag 0.8183 0.1444 0.6142  4 Au 2.81-3.07, 5 Ag 2.86-3.00
Ag 0.7610 0.7610 0.7170  3 Au 2.80, 6 Ag 2.86-3.00
Ag 0.1444 0.4231 0.6142  4 Au 2.81-3.07, 5 Ag 2.86-3.00
Ag 0.1817 0.8556 0.3858  4 Au 2.81-3.07, 5 Ag 2.86-3.00
Ag 0.4231 0.8183 0.6142  4 Au 2.81-3.07, 5 Ag 2.86-3.00
Ag 0.8556 0.5769 0.3858  4 Au 2.81-3.07, 5 Ag 2.86-3.00
Ag 0.5769 0.1817 0.3858  4 Au 2.81-3.07, 5 Ag 2.86-3.00
Cu 0.0000 0.0000 0.0000  6 Au 2.70



A plane-wave DFT calculation with PBE was carried out for a geometry-optimized Cu2AgAu structure.

Computed properties:
Calculated total energy: -3.542 eV/atom
ΔE_f: 0.2 eV per formula unit
Energy above the lowest structure with this stoichiometry: 0.09 eV per formula unit
SG: Imm2

a = 5.2148 Å, b = 5.2148 Å, c = 5.2148 Å
α = 146.06°, β = 129.86°, γ = 61.93°
With the nearest neighbours (Å) after each atom.
Atoms (fractional coordinates):
Cu 0.0126 0.0126 0.0000  2 Cu 2.50, 4 Ag 2.69, 2 Au 2.70
Cu 0.2348 0.7348 0.5000  2 Cu 2.50, 4 Au 2.70, 2 Ag 2.74
Au 0.7634 0.2634 0.5000  6 Cu 2.70, 4 Ag 2.89-2.99
Ag 0.4892 0.4892 0.0000  6 Cu 2.69-2.74, 4 Au 2.89-2.99